(1)
Entry from Alexandria: an optimized crystal structure of TbTh8 (PBE).

Summary:
Distance to the lowest polymorph of the same formula: 75 kJ/mol of formula units
Magnetic moment: 0.0 μB/cell
Formation energy: 97 kJ/mol of formula units
E: -6.998 eV/atom

Cell: 9.180 9.180 9.180 Å, 92.18 92.18 157.51°
Sites, in units of the cell vectors:
Tb  0.000  0.000  0.000
Th  0.000  0.332  0.332
Th  0.000  0.668  0.668
Th  0.331  0.331  0.663
Th  0.331  0.669  0.000
Th  0.332  0.000  0.332
Th  0.668  0.000  0.668
Th  0.669  0.331  0.000
Th  0.669  0.669  0.337

(2)
Entry from Alexandria: an optimized crystal structure of ReRu2SeS (PBE).

Summary:
E_form (uncorrected): 1.2595 eV/atom
Magnetic moment: 1.1 μB/cell
E: -6.463 eV/atom

Cell: 4.825 4.825 4.372 Å, 90.00 90.00 90.00°
Sites, in units of the cell vectors:
Re  0.000  0.000  0.000
Ru  0.000  0.500  0.000
Ru  0.500  0.000  0.000
Se  0.500  0.500  0.500
S  0.000  0.000  0.500

(3)
Entry from Alexandria: an optimized crystal structure of NdGeRh4 (PBE).

Summary:
Magnetic moment: 0.0 μB/cell
Formation energy: -249 kJ/mol of formula units
E: -6.896 eV/atom

Cell: 7.536 3.943 6.951 Å, 90.00 90.00 90.00°
Sites, in units of the cell vectors:
Nd  0.250  0.000  0.143
Nd  0.750  0.000  0.857
Ge  0.250  0.000  0.719
Ge  0.750  0.000  0.281
Rh  0.000  0.000  0.500
Rh  0.053  0.500  0.801
Rh  0.250  0.500  0.453
Rh  0.447  0.500  0.801
Rh  0.500  0.000  0.500
Rh  0.553  0.500  0.199
Rh  0.750  0.500  0.547
Rh  0.947  0.500  0.199